1.
Density functional theory data (PBE) for a geometry-optimized Mo2Os2W structure.

Properties
formation energy from the elements: 779 meV/atom

abc: 3.940 3.940 11.127
angles: 90.00 90.00 90.00
Space group I4/mmm (No. 139)
Inequivalent atoms, fractional coordinates:
1 Mo 0.000 0.500 0.250 x4
2 Os 0.000 0.000 0.106 x4
3 W 0.000 0.000 0.500 x2


2.
Density functional theory data (PBE) for a geometry-optimized HfCoSnAu structure.

Properties
uncorrected energy: -6.16 eV/atom

abc: 6.570 6.570 6.570
angles: 90.00 90.00 90.00
Space group F-43m (No. 216)
Inequivalent atoms, fractional coordinates:
1 Hf 0.000 0.000 0.000 x4
2 Co 0.000 0.000 0.500 x4
3 Sn 0.250 0.250 0.250 x4
4 Au 0.250 0.250 0.750 x4


3.
Density functional theory data (PBE) for a geometry-optimized Tb2O3 structure.

Properties
uncorrected energy: -8.39 eV/atom

abc: 10.661 10.661 10.661
angles: 90.00 90.00 90.00
Space group Ia-3 (No. 206)
Inequivalent atoms, fractional coordinates:
1 Tb 0.000 0.250 0.468 x24
2 Tb 0.250 0.250 0.250 x8
3 O 0.109 0.151 0.621 x48


4.
Density functional theory data (PBE) for a geometry-optimized ZrAlPt structure.

Properties
uncorrected energy: -6.98 eV/atom

abc: 6.252 6.252 6.252
angles: 90.00 90.00 90.00
Space group F-43m (No. 216)
Inequivalent atoms, fractional coordinates:
1 Zr 0.000 0.000 0.000 x4
2 Al 0.000 0.000 0.500 x4
3 Pt 0.250 0.250 0.750 x4


5.
Density functional theory data (PBE) for a geometry-optimized AlNiMoAu structure.

Properties
uncorrected energy: -5.76 eV/atom

abc: 6.204 6.204 6.204
angles: 90.00 90.00 90.00
Space group F-43m (No. 216)
Inequivalent atoms, fractional coordinates:
1 Al 0.000 0.000 0.000 x4
2 Ni 0.250 0.250 0.250 x4
3 Mo 0.250 0.250 0.750 x4
4 Au 0.000 0.000 0.500 x4


6.
Density functional theory data (PBE) for a geometry-optimized Hg2P2O7 structure.

Properties
uncorrected energy: -5.70 eV/atom

abc: 6.706 6.806 6.976
angles: 80.13 66.51 80.85
Space group P-1 (No. 2)
Inequivalent atoms, fractional coordinates:
1 Hg 0.106 0.171 0.245 x2
2 Hg 0.295 0.328 0.640 x2
3 P 0.224 0.659 0.252 x2
4 P 0.363 0.867 0.821 x2
5 O 0.068 0.832 0.361 x2
6 O 0.091 0.517 0.214 x2
7 O 0.232 0.745 0.761 x2
8 O 0.244 0.076 0.887 x2
9 O 0.378 0.555 0.361 x2
10 O 0.398 0.750 0.031 x2
11 O 0.404 0.115 0.341 x2


7.
Density functional theory data (PBE) for a geometry-optimized GdHoCl2O2 structure.

Properties
uncorrected energy: -6.88 eV/atom

abc: 3.892 3.892 6.712
angles: 90.00 90.00 90.00
Space group P4mm (No. 99)
Inequivalent atoms, fractional coordinates:
1 Gd 0.000 0.000 0.000 x1
2 Ho 0.500 0.500 0.339 x1
3 Cl 0.000 0.000 0.545 x1
4 Cl 0.500 0.500 0.800 x1
5 O 0.000 0.500 0.175 x2


8.
Density functional theory data (PBE) for a geometry-optimized Zn8Pd structure.

Properties
formation energy from the elements: -135 meV/atom

abc: 8.275 8.275 3.846
angles: 90.00 90.00 90.00
Space group I4/mmm (No. 139)
Inequivalent atoms, fractional coordinates:
1 Zn 0.000 0.334 0.000 x8
2 Zn 0.167 0.167 0.500 x8
3 Pd 0.000 0.000 0.000 x2


| no. | ρ (kg/m3) |
| --- | --- |
| 1 | 14542 |
| 2 | 12957 |
| 3 | 8022 |
| 4 | 8516 |
| 5 | 10532 |
| 6 | 6673 |
| 7 | 6943 |
| 8 | 7941 |